No. 1
This record from the Alexandria database describes an optimized crystal structure of Sc3TaBi. The functional is PBE.

Cell and atoms, written as POSCAR:
```
Sc3TaBi
1.0
5.327 0.000 0.000
0.000 5.327 0.000
0.000 0.000 5.327
Sc Ta Bi
3 1 1
Cartesian
0.000 0.000 2.663
0.000 2.663 0.000
2.663 0.000 0.000
2.663 2.663 2.663
0.000 0.000 0.000
```

Energy of formation in kJ/mol of formula units: 516
Final energy in eV per atom: -5.8756
Calculated volume in Å³ per atom: 30.2
M_tot in μB/cell: 2.9
Density in Mg/m³: 5.8
Density of states at the Fermi level in states/eV/f.u.: 13.2

No. 2
This record from the Alexandria database describes an optimized crystal structure of ScAlSb2S. The functional is PBE.

Cell and atoms, written as POSCAR:
```
ScAlSb2S
1.0
5.067 0.000 0.000
0.000 5.067 0.000
0.000 0.000 5.407
Sc Al Sb S
1 1 2 1
Cartesian
0.000 0.000 0.000
0.000 0.000 2.704
0.000 2.533 2.704
2.533 0.000 2.704
2.533 2.533 0.000
```

Formation energy without anion corrections in meV/atom: 477
Final energy in eV per atom: -4.0122
Calculated volume in Å³ per atom: 27.8
M_tot in μB/cell: 0.0
Density in Mg/m³: 4.2
Density of states at the Fermi level in states/eV/f.u.: 4.5

No. 3
This record from the Alexandria database describes an optimized crystal structure of ScMn2Tc2. The functional is PBE.

Cell and atoms, written as POSCAR:
```
ScMn2Tc2
1.0
7.244 0.000 0.000
0.000 7.244 0.000
0.000 0.000 2.761
Sc Mn Tc
2 4 4
Cartesian
0.000 0.000 0.000
3.622 3.622 0.000
0.907 2.715 0.000
2.715 6.337 0.000
4.529 0.907 0.000
6.337 4.529 0.000
1.208 4.830 1.380
2.414 1.208 1.380
4.830 6.036 1.380
6.036 2.414 1.380
```

Energy of formation in kJ/mol of formula units: 41
Final energy in eV per atom: -8.9953
Calculated volume in Å³ per atom: 14.5
M_tot in μB/cell: 4.0
Density in Mg/m³: 8.0
Density of states at the Fermi level in states/eV/f.u.: 6.8

No. 4
This record from the Alexandria database describes an optimized crystal structure of CoRh. The functional is PBE.

Cell and atoms, written as POSCAR:
```
CoRh
1.0
0.000 2.444 2.444
2.444 0.000 2.444
2.444 2.444 0.000
Co Rh
1 1
Cartesian
0.000 0.000 0.000
2.444 2.444 2.444
```

Energy of formation in kJ/mol of formula units: 140
Final energy in eV per atom: -6.5052
Calculated volume in Å³ per atom: 14.6
M_tot in μB/cell: 2.7
Density in Mg/m³: 9.2
Density of states at the Fermi level in states/eV/f.u.: 3.0

No. 5
This record from the Alexandria database describes an optimized crystal structure of NdTmZnCd. The functional is PBE.

Cell and atoms, written as POSCAR:
```
NdTmZnCd
1.0
3.610 0.000 0.000
0.000 3.610 0.000
0.000 0.000 7.699
Nd Tm Zn Cd
1 1 1 1
Cartesian
0.000 0.000 0.000
0.000 0.000 3.547
1.805 1.805 1.944
1.805 1.805 5.475
```

Energy of formation in kJ/mol of formula units: -125
Final energy in eV per atom: -3.1798
Calculated volume in Å³ per atom: 25.1
M_tot in μB/cell: 0.0
Density in Mg/m³: 8.1
Density of states at the Fermi level in states/eV/f.u.: 3.8

No. 6
This record from the Alexandria database describes an optimized crystal structure of Pm2Zn7In. The functional is PBE.

Cell and atoms, written as POSCAR:
```
Pm2Zn7In
1.0
4.305 0.000 0.000
0.000 4.305 0.000
0.000 0.000 10.652
Pm Zn In
2 7 1
Cartesian
0.000 2.153 2.520
2.153 0.000 8.132
0.000 0.000 0.000
0.000 2.153 6.908
0.000 2.153 9.325
2.153 0.000 1.327
2.153 0.000 3.744
2.153 2.153 0.000
2.153 2.153 5.326
0.000 0.000 5.326
```

Energy of formation in kJ/mol of formula units: -306
Final energy in eV per atom: -2.4333
Calculated volume in Å³ per atom: 19.7
M_tot in μB/cell: 0.0
Density in Mg/m³: 7.3
Density of states at the Fermi level in states/eV/f.u.: 5.7